Entry from Alexandria via LeMat-Bulk: a relaxed structure of Ta2CuSe (PBE).

* space-group type: C2/m, No. 12
* DOS at the Fermi energy: 2.908 states/eV per cell
* uncorrected formation energy: 14.11 kJ/mol of atoms
* final energy: -7.68 eV per atom

abc: 4.6978 4.6978 4.8231
angles: 80.65 80.65 40.06
Atoms (fractional coordinates):
Cu  0.7500  0.7500  0.7500
Se  0.2500  0.2500  0.2500
Ta  0.0031  0.0031  0.9871
Ta  0.4969  0.4969  0.5129